*one*
The following is a DFT calculation (PBE) of a relaxed structure of AlNiTe.

Cell lengths 4.844, 3.962, 7.109 Å; angles 90.00, 110.02, 90.00 degrees
Fractional coordinates of all 6 atoms:
Al1 0.191 0.250 0.091
Al2 0.809 0.750 0.909
Ni1 0.313 0.750 0.930
Ni2 0.687 0.250 0.070
Te1 0.322 0.250 0.695
Te2 0.678 0.750 0.305



*two*
The following is a DFT calculation (PBE) of a relaxed structure of AlNiTe.

Cell lengths 3.708, 3.708, 4.932 Å; angles 90.00, 90.00, 120.00 degrees
Fractional coordinates of all 3 atoms:
Al1 0.000 0.000 0.000
Ni1 0.667 0.333 0.243
Te1 0.333 0.667 0.517



*three*
The following is a DFT calculation (PBE) of a relaxed structure of AlNiTe.

Cell lengths 3.889, 3.889, 9.469 Å; angles 90.00, 90.00, 120.00 degrees
Fractional coordinates of all 6 atoms:
Al1 0.000 0.000 0.000
Al2 0.333 0.667 0.225
Ni1 0.667 0.333 0.128
Ni2 0.667 0.333 0.873
Te1 0.333 0.667 0.753
Te2 0.667 0.333 0.396



Energies relative to the minimum, eV/atom: *one* 0.057; *two* 0.280; *three* 0.000